The following is a DFT calculation (GGA+U) of a relaxed NaPuVF6 crystal.

Values from the calculation:
Final energy   -0.2540 hartree per atom
M_tot   16.00 μB/cell

Unit cell a=5.5917 b=5.5917 c=10.2171 alpha=90.00 beta=90.00 gamma=120.00
Space group P-31c (No. 163)
Symmetry-distinct sites (fractional):
Na (0.3333, 0.6667, 0.2500)
Pu (0.0000, 0.0000, 0.0000)
V (0.3333, 0.6667, 0.7500)
F (0.0258, 0.3488, 0.6332)